[1]
VASP calculation (GGA-PBE) on a relaxed KSbP2Pd4 crystal.

```
8
Lattice="-0.153 3.699 -1.836 -0.391 -1.842 -3.678 -9.854 0.091 1.002" Properties=species:S:1:pos:R:3 pbc="T T T"
K -4.927 0.045 0.501
Sb 0.000 0.000 0.000
P -3.247 0.956 -2.455
P -7.151 0.992 -2.058
Pd -2.021 -0.904 -1.654
Pd -8.105 1.923 -0.102
Pd -1.902 1.866 -0.733
Pd -8.224 -0.847 -1.023
```

Calculated values
electronic total energy = -40.201 eV for the cell shown
raw formation energy = -424 meV/atom

=====

[2]
VASP calculation (GGA-PBE) on a relaxed KSb2PPd crystal.

```
5
Lattice="5.486 0.000 0.000 0.000 4.576 0.000 0.000 0.000 5.486" Properties=species:S:1:pos:R:3 pbc="T T T"
Sb 0.000 0.000 2.743
Sb 2.743 0.000 0.000
K 2.743 2.288 2.743
Pd 0.000 2.288 0.000
P 0.000 0.000 0.000
```

Calculated values
electronic total energy = -19.503 eV for the cell shown
raw formation energy = 88 meV/atom

=====

[3]
VASP calculation (GGA-PBE) on a relaxed K2PPdSe4 crystal.

```
16
Lattice="-3.216 -5.348 -2.439 4.020 -5.016 -3.505 0.053 -8.050 8.380" Properties=species:S:1:pos:R:3 pbc="T T T"
K -0.522 -6.188 5.054
K -2.641 -7.210 0.886
K 0.200 -12.406 3.933
K -0.951 -8.681 -2.717
P 1.232 -7.870 1.827
P -1.608 -2.674 -1.219
Pd -0.376 -10.544 0.608
Pd 0.000 0.000 0.000
Se 2.086 -6.573 -2.801
Se 0.149 -9.549 6.282
Se 0.441 -15.880 2.685
Se -0.963 -4.826 -1.295
Se 1.558 -8.987 -0.096
Se -0.471 -9.045 2.706
Se 0.040 -13.078 0.359
Se 0.587 -5.718 1.903
```

Calculated values
electronic total energy = -61.677 eV for the cell shown
raw formation energy = -513 meV/atom

=====

[4]
VASP calculation (GGA-PBE) on a relaxed KP2PdSe8 crystal.

```
12
Lattice="-4.972 -2.532 1.919 -2.506 -4.328 -3.131 3.472 -9.772 5.172" Properties=species:S:1:pos:R:3 pbc="T T T"
K -2.003 -8.316 1.980
P -1.202 -3.906 0.803
P -2.804 -12.726 3.158
Pd 0.000 0.000 0.000
Se -0.039 -5.366 1.890
Se -3.453 -4.387 1.013
Se -3.967 -11.266 2.071
Se -5.593 -6.485 0.486
Se 1.587 -10.147 3.475
Se -3.300 -6.123 -1.482
Se -0.706 -10.509 5.442
Se -0.553 -12.245 2.948
```

Calculated values
electronic total energy = -47.203 eV for the cell shown
raw formation energy = -185 meV/atom

=====

[5]
VASP calculation (GGA-PBE) on a relaxed KSmP2Pd4 crystal.

```
8
Lattice="4.141 0.000 0.000 0.000 4.141 0.000 0.000 0.000 10.483" Properties=species:S:1:pos:R:3 pbc="T T T"
K 0.000 0.000 5.241
Sm 0.000 0.000 0.000
P 2.070 2.070 3.230
P 2.070 2.070 7.253
Pd 0.000 2.070 2.136
Pd 2.070 0.000 8.347
Pd 2.070 0.000 2.136
Pd 0.000 2.070 8.347
```

Calculated values
electronic total energy = -42.017 eV for the cell shown
energy of formation from the pure elements = -445 kJ/mol of formula units

=====

[6]
VASP calculation (GGA-PBE) on a relaxed K2SnPPd6 crystal.

```
20
Lattice="6.219 0.000 0.000 0.000 7.664 0.000 0.000 0.000 9.024" Properties=species:S:1:pos:R:3 pbc="T T T"
K 3.109 5.317 2.696
K 0.000 2.347 7.209
K 3.109 5.317 6.328
K 0.000 2.347 1.816
Sn 0.000 5.386 4.512
Sn 3.109 2.278 0.000
P 3.109 1.629 4.512
P 0.000 6.035 0.000
Pd 3.109 0.834 2.303
Pd 3.109 0.834 6.721
Pd 0.000 6.830 2.209
Pd 0.000 6.830 6.815
Pd 1.356 0.115 4.512
Pd 4.863 0.115 4.512
Pd 1.360 3.087 4.512
Pd 4.859 3.087 4.512
Pd 4.470 4.577 0.000
Pd 1.749 4.577 0.000
Pd 1.754 7.549 0.000
Pd 4.465 7.549 0.000
```

Calculated values
electronic total energy = -91.838 eV for the cell shown
energy of formation from the pure elements = -304 kJ/mol of formula units

=====

[7]
VASP calculation (GGA-PBE) on a relaxed KSrP2Pd4 crystal.

```
8
Lattice="-2.401 -0.037 3.392 0.050 -4.156 -0.010 8.910 0.091 6.307" Properties=species:S:1:pos:R:3 pbc="T T T"
K 4.455 0.046 3.153
Sr 0.000 0.000 0.000
P 1.612 -2.068 3.664
P 4.947 -2.034 6.025
Pd 1.985 -2.058 1.382
Pd 5.749 0.053 6.615
Pd 0.760 0.001 3.084
Pd 6.974 -2.007 4.914
```

Calculated values
electronic total energy = -38.715 eV for the cell shown
energy of formation from the pure elements = -419 kJ/mol of formula units

=====

[8]
VASP calculation (GGA-PBE) on a relaxed K2TaPPd crystal.

```
5
Lattice="5.992 0.000 0.000 0.000 4.779 0.000 0.000 0.000 5.992" Properties=species:S:1:pos:R:3 pbc="T T T"
P 0.000 0.000 0.000
K 0.000 0.000 2.996
K 2.996 0.000 0.000
Pd 2.996 2.389 2.996
Ta 0.000 2.389 0.000
```

Calculated values
electronic total energy = -20.926 eV for the cell shown
energy of formation from the pure elements = 359 kJ/mol of formula units

=====

What did the eighth record say?
VASP calculation (GGA-PBE) on a relaxed K2TaPPd crystal.

```
5
Lattice="5.992 0.000 0.000 0.000 4.779 0.000 0.000 0.000 5.992" Properties=species:S:1:pos:R:3 pbc="T T T"
P 0.000 0.000 0.000
K 0.000 0.000 2.996
K 2.996 0.000 0.000
Pd 2.996 2.389 2.996
Ta 0.000 2.389 0.000
```

Calculated values
electronic total energy = -20.926 eV for the cell shown
energy of formation from the pure elements = 359 kJ/mol of formula units

=====

- Which of these has the highest electronic total energy?
  KSb2PPd